First-principles (PBE) data for a relaxed structure of BeAl6Cr, as listed in Alexandria.

The structure in CIF format:
```
data_BeAl6Cr
_cell_length_a 4.561
_cell_length_b 11.403
_cell_length_c 5.103
_cell_angle_alpha 90.00
_cell_angle_beta 90.83
_cell_angle_gamma 90.00
_space_group_name_H-M_alt 'C 1 2/m 1'
_space_group_IT_number 12
_space_group_name_Hall '-C 2y'
loop_
_atom_site_label
_atom_site_fract_x
_atom_site_fract_y
_atom_site_fract_z
Be1 0.000 0.000 0.000
Al1 0.011 0.500 0.747
Al2 0.125 0.190 0.753
Cr1 0.000 0.000 0.500
```

Output
E: -4.319 eV/atom
Total magnetic moment: 0.279 μB/atom
Theoretical density: 2.79 Mg/m³
Energy of formation: 0.157 eV per atom